(1)
Compound: CaIrPt2
Source: Alexandria
Functional: PBE-GGA
Structure: optimized geometry

abc: 5.8320 7.9775 2.8764
angles: 90.00 90.00 90.00
Space group Cmmm (No. 65)
Unique sites:
Ca (0.0000, 0.0000, 0.0000) (multiplicity 2)
Ir (0.0000, 0.5000, 0.0000) (multiplicity 2)
Pt (0.2500, 0.2500, 0.5000) (multiplicity 4)

Output
DFT formation energy (eV/atom): -0.3533
E (eV per atom): -6.089
Density of states at the Fermi level (states/eV per atom): 0.781

(2)
Compound: CaIr2Pt2
Source: Alexandria
Functional: PBE-GGA
Structure: optimized geometry

abc: 4.2207 4.2207 10.8514
angles: 90.00 90.00 90.00
Space group I4/mmm (No. 139)
Unique sites:
Ca (0.0000, 0.0000, 0.0000) (multiplicity 2)
Ir (0.0000, 0.0000, 0.3942) (multiplicity 4)
Pt (0.0000, 0.5000, 0.2500) (multiplicity 4)

Output
DFT formation energy (eV/atom): -0.1177
E (eV per atom): -6.479
Density of states at the Fermi level (states/eV per atom): 0.825

(3)
Compound: CaIrPt2
Source: Alexandria
Functional: PBE-GGA
Structure: optimized geometry

abc: 6.5378 6.5378 6.5378
angles: 90.00 90.00 90.00
Space group F-43m (No. 216)
Unique sites:
Ca (0.0000, 0.0000, 0.0000) (multiplicity 4)
Ir (0.2500, 0.2500, 0.2500) (multiplicity 4)
Pt (0.0000, 0.0000, 0.5000) (multiplicity 4)
Pt (0.2500, 0.2500, 0.7500) (multiplicity 4)

Output
DFT formation energy (eV/atom): -0.0126
E (eV per atom): -5.749
Density of states at the Fermi level (states/eV per atom): 1.496

(4)
Compound: CaIrPt2
Source: Alexandria
Functional: PBE-GGA
Structure: optimized geometry

abc: 2.8192 4.1108 5.9795
angles: 90.00 90.10 90.00
Space group P2/m (No. 10)
Unique sites:
Ca (0.0000, 0.0000, 0.0000) (multiplicity 1)
Ir (0.0000, 0.0000, 0.5000) (multiplicity 1)
Pt (0.4996, 0.5000, 0.2789) (multiplicity 2)

Output
DFT formation energy (eV/atom): -0.2368
E (eV per atom): -5.973
Density of states at the Fermi level (states/eV per atom): 1.021

(5)
Compound: Ca8IrPt2
Source: Alexandria
Functional: PBE-GGA
Structure: optimized geometry

abc: 8.6700 12.8985 6.2288
angles: 90.00 109.89 90.00
Space group Cm (No. 8)
Unique sites:
Ca (0.0000, 0.0000, 0.0000) (multiplicity 2)
Ca (0.0579, 0.3674, 0.8158) (multiplicity 4)
Ca (0.1485, 0.1296, 0.6180) (multiplicity 4)
Ca (0.2013, 0.5000, 0.3805) (multiplicity 2)
Ca (0.3619, 0.2076, 0.2073) (multiplicity 4)
Ir (0.3590, 0.0000, 0.0042) (multiplicity 2)
Pt (0.3418, 0.3157, 0.6786) (multiplicity 4)

Output
DFT formation energy (eV/atom): -0.4950
E (eV per atom): -3.855
Density of states at the Fermi level (states/eV per atom): 0.455

(6)
Compound: Ca3IrPt
Source: Alexandria
Functional: PBE-GGA
Structure: optimized geometry

abc: 5.3082 5.3082 5.3082
angles: 90.00 90.00 90.00
Space group Pm-3m (No. 221)
Unique sites:
Ca (0.0000, 0.0000, 0.5000) (multiplicity 3)
Ir (0.0000, 0.0000, 0.0000) (multiplicity 1)
Pt (0.5000, 0.5000, 0.5000) (multiplicity 1)

Output
DFT formation energy (eV/atom): -0.0597
E (eV per atom): -4.241
Density of states at the Fermi level (states/eV per atom): 0.916

(7)
Compound: CaIrPt2
Source: Alexandria
Functional: PBE-GGA
Structure: optimized geometry

abc: 2.9147 2.9147 27.9265
angles: 90.00 90.00 120.00
Space group R3m (No. 160, hexagonal axes)
Unique sites:
Ca (0.0000, 0.0000, 0.0000) (multiplicity 3)
Ir (0.0000, 0.0000, 0.2467) (multiplicity 3)
Pt (0.0000, 0.0000, 0.5020) (multiplicity 3)
Pt (0.0000, 0.0000, 0.7530) (multiplicity 3)

Output
DFT formation energy (eV/atom): 0.1104
E (eV per atom): -5.626
Density of states at the Fermi level (states/eV per atom): 1.727

(8)
Compound: CaIrPt2
Source: Alexandria
Functional: PBE-GGA
Structure: optimized geometry

abc: 9.5545 2.8790 5.1084
angles: 90.00 100.33 90.00
Space group C2/m (No. 12)
Unique sites:
Ca (0.0000, 0.0000, 0.0000) (multiplicity 2)
Ir (0.0000, 0.5000, 0.5000) (multiplicity 2)
Pt (0.2387, 0.0000, 0.7246) (multiplicity 4)

Output
DFT formation energy (eV/atom): -0.1831
E (eV per atom): -5.919
Density of states at the Fermi level (states/eV per atom): 0.978

(9)
Compound: CaIrPt2
Source: Alexandria
Functional: PBE-GGA
Structure: optimized geometry

abc: 4.0852 4.0852 4.0512
angles: 90.00 90.00 90.00
Space group P4/mmm (No. 123)
Unique sites:
Ca (0.0000, 0.0000, 0.0000) (multiplicity 1)
Ir (0.5000, 0.5000, 0.0000) (multiplicity 1)
Pt (0.0000, 0.5000, 0.5000) (multiplicity 2)

Output
DFT formation energy (eV/atom): -0.3206
E (eV per atom): -6.057
Density of states at the Fermi level (states/eV per atom): 0.974

(10)
Compound: CaIrPt2
Source: Alexandria
Functional: PBE-GGA
Structure: optimized geometry

abc: 2.9113 2.9113 27.9436
angles: 90.00 90.00 120.00
Space group R-3m (No. 166, hexagonal axes)
Unique sites:
Ca (0.0000, 0.0000, 0.0000) (multiplicity 3)
Ir (0.0000, 0.0000, 0.5000) (multiplicity 3)
Pt (0.0000, 0.0000, 0.2467) (multiplicity 6)

Output
DFT formation energy (eV/atom): 0.0866
E (eV per atom): -5.649
Density of states at the Fermi level (states/eV per atom): 1.229

(11)
Compound: Rb2CaIrPt
Source: Alexandria
Functional: PBE-GGA
Structure: optimized geometry

abc: 6.9506 6.9506 5.0049
angles: 90.00 90.00 90.00
Space group P4/mmm (No. 123)
Unique sites:
Rb (0.0000, 0.5000, 0.0000) (multiplicity 2)
Ca (0.0000, 0.0000, 0.0000) (multiplicity 1)
Ir (0.5000, 0.5000, 0.5000) (multiplicity 1)
Pt (0.0000, 0.0000, 0.5000) (multiplicity 1)

Output
DFT formation energy (eV/atom): 1.1866
E (eV per atom): -2.581
Density of states at the Fermi level (states/eV per atom): 1.827

(12)
Compound: CaScIrPt
Source: Alexandria
Functional: PBE-GGA
Structure: optimized geometry

abc: 6.6848 6.6848 6.6848
angles: 90.00 90.00 90.00
Space group F-43m (No. 216)
Unique sites:
Ca (0.0000, 0.0000, 0.0000) (multiplicity 4)
Sc (0.0000, 0.0000, 0.5000) (multiplicity 4)
Ir (0.2500, 0.2500, 0.2500) (multiplicity 4)
Pt (0.2500, 0.2500, 0.7500) (multiplicity 4)

Output
DFT formation energy (eV/atom): -0.7548
E (eV per atom): -6.564
Density of states at the Fermi level (states/eV per atom): 0.595